# 1
Entry from Alexandria: LaOsSe2 after structural relaxation (PBE-GGA).

Geometry as CIF:
```
data_LaOsSe2
_chemical_formula_sum 'La1 Os1 Se2'
_space_group_name_H-M_alt 'P 4/m m m'
_space_group_IT_number 123
_space_group_name_Hall '-P 4 2'
_cell_length_a 3.377
_cell_length_b 3.377
_cell_length_c 7.050
_cell_angle_alpha 90.00
_cell_angle_beta 90.00
_cell_angle_gamma 90.00
loop_
_atom_site_label
_atom_site_type_symbol
_atom_site_fract_x
_atom_site_fract_y
_atom_site_fract_z
La1 La 0.000 0.000 0.000
Os1 Os 0.000 0.000 0.500
Se1 Se 0.500 0.500 0.289
```

E_form (uncorrected) = 0 meV per atom
Total energy = -5.78 eV/atom
Magnetization = 0.03 μB/atom

=====

# 2
Entry from Alexandria: PaFe4Ru after structural relaxation (PBE-GGA).

Geometry as CIF:
```
data_PaFe4Ru
_chemical_formula_sum 'Pa4 Fe16 Ru4'
_space_group_name_H-M_alt 'F -4 3 m'
_space_group_IT_number 216
_space_group_name_Hall 'F -4 2 3'
_cell_length_a 6.991
_cell_length_b 6.991
_cell_length_c 6.991
_cell_angle_alpha 90.00
_cell_angle_beta 90.00
_cell_angle_gamma 90.00
loop_
_atom_site_label
_atom_site_type_symbol
_atom_site_fract_x
_atom_site_fract_y
_atom_site_fract_z
Pa1 Pa 0.000 0.000 0.000
Fe1 Fe 0.125 0.125 0.375
Ru1 Ru 0.250 0.250 0.750
```

Total energy = -8.80 eV/atom
Magnetization = 1.54 μB/atom